Entry a
This record from Alexandria via LeMat-Bulk describes a geometry-optimized BaCuRu structure. The functional is PBE-GGA.

The structure in POSCAR format:
```
BaCuRu
1.0
-1.9104 3.4612 4.5221
-1.5044 0.2402 5.8101
2.8382 1.0544 1.7409
Ba Cu Ru
1 1 1
Direct
0.0007 0.0007 0.9993 Ba
0.2793 0.2793 0.7207 Cu
0.7200 0.7200 0.2799 Ru
```

Properties
V: 66.8 Å³ per cell
size of the total moment: 0.00 μB/atom


Entry b
This record from Alexandria via LeMat-Bulk describes a geometry-optimized BaCuRu structure. The functional is PBE-GGA.

The structure in POSCAR format:
```
BaCuRu
1.0
4.6856 0.0000 0.0000
2.3428 4.0579 0.0000
2.3428 1.3526 3.8258
Ba Cu Ru
1 1 1
Direct
0.0000 0.0000 0.0000 Ba
0.5000 0.5000 0.5000 Cu
0.7500 0.7500 0.7500 Ru
```

Properties
V: 72.7 Å³ per cell
size of the total moment: 0.23 μB/atom


Entry c
This record from Alexandria via LeMat-Bulk describes a geometry-optimized BaCuRu structure. The functional is PBE-GGA.

The structure in POSCAR format:
```
BaCuRu
1.0
-3.9149 1.8740 -1.9826
-3.8150 -2.7499 -0.8085
-3.9532 0.5771 2.6093
Ba Cu Ru
1 1 1
Direct
0.7500 0.7500 0.7500 Ba
0.0000 0.0000 0.0000 Cu
0.5000 0.5000 0.5000 Ru
```

Properties
V: 76.8 Å³ per cell
size of the total moment: 0.21 μB/atom


Entry d
This record from Alexandria via LeMat-Bulk describes a geometry-optimized BaCuRu structure. The functional is PBE-GGA.

The structure in POSCAR format:
```
BaCuRu
1.0
-1.1195 -0.1296 -4.0813
3.5198 -1.9660 1.2932
-2.5533 -4.0264 0.8282
Ba Cu Ru
1 1 1
Direct
0.0000 0.0000 0.0001 Ba
0.6667 0.3333 0.5000 Cu
0.3333 0.6667 0.4999 Ru
```

Properties
V: 75.1 Å³ per cell
size of the total moment: 0.29 μB/atom


In order of decreasing stability: entry d, entry a, entry b, entry c.


Entry a
This record from Alexandria via LeMat-Bulk describes a geometry-optimized BaCu3S3 structure. The functional is PBE-GGA.

The structure in POSCAR format:
```
BaCu3S3
1.0
-1.5071 -0.7214 -6.5552
4.9572 -0.5780 -4.5667
1.0579 -7.7682 -2.8789
Ba Cu S
2 6 6
Direct
0.3334 0.3334 0.9999 Ba
0.6666 0.6666 0.0001 Ba
0.4618 0.7898 0.6218 Cu
0.7898 0.1266 0.6218 Cu
0.1266 0.4618 0.6218 Cu
0.8734 0.5382 0.3782 Cu
0.2102 0.8734 0.3782 Cu
0.5382 0.2102 0.3782 Cu
0.2324 0.5714 0.2938 S
0.9024 0.2324 0.2938 S
0.5714 0.9024 0.2938 S
0.4286 0.0976 0.7062 S
0.0976 0.7676 0.7062 S
0.7676 0.4286 0.7062 S
```

Properties
V: 292.6 Å³ per cell
size of the total moment: 0.00 μB/atom


Entry b
This record from Alexandria via LeMat-Bulk describes a geometry-optimized BaCu3S3 structure. The functional is PBE-GGA.

The structure in POSCAR format:
```
BaCu3S3
1.0
6.5165 0.0000 0.0000
0.0000 6.5165 0.0000
0.0000 0.0000 6.5165
S Ba Cu
6 2 6
Direct
0.0000 0.2500 0.5000 S
0.0000 0.7500 0.5000 S
0.5000 0.0000 0.7500 S
0.7500 0.5000 0.0000 S
0.5000 0.0000 0.2500 S
0.2500 0.5000 0.0000 S
0.5000 0.5000 0.5000 Ba
0.0000 0.0000 0.0000 Ba
0.2500 0.0000 0.5000 Cu
0.0000 0.5000 0.2500 Cu
0.5000 0.7500 0.0000 Cu
0.7500 0.0000 0.5000 Cu
0.0000 0.5000 0.7500 Cu
0.5000 0.2500 0.0000 Cu
```

Properties
V: 276.7 Å³ per cell
size of the total moment: 0.00 μB/atom


In order of decreasing stability: entry b, entry a.


Entry a
This record from Alexandria via LeMat-Bulk describes a geometry-optimized BaCu3Sb structure. The functional is PBE-GGA.

The structure in POSCAR format:
```
BaCu3Sb
1.0
-0.6611 0.8786 -4.9197
-3.6058 -3.5200 -0.1441
-3.4604 3.5001 1.0901
Sb Ba Cu
1 1 3
Direct
0.0000 0.0000 0.0000 Sb
0.5000 0.5000 0.5000 Ba
0.0000 0.5000 0.0000 Cu
0.0000 0.0000 0.5000 Cu
0.5000 0.0000 0.0000 Cu
```

Properties
V: 128.1 Å³ per cell
size of the total moment: 0.00 μB/atom


Entry b
This record from Alexandria via LeMat-Bulk describes a geometry-optimized BaCu3Sb structure. The functional is PBE-GGA.

The structure in POSCAR format:
```
BaCu3Sb
1.0
-3.5133 -3.5904 1.7674
3.9209 -3.5588 0.5648
0.8003 1.6739 4.9915
Sb Ba Cu
1 1 3
Direct
0.5000 0.5000 0.5000 Sb
0.0000 0.0000 0.0000 Ba
0.0000 0.5000 0.0000 Cu
0.0000 0.0000 0.5000 Cu
0.5000 0.0000 0.0000 Cu
```

Properties
V: 151.0 Å³ per cell
size of the total moment: 0.00 μB/atom


In order of decreasing stability: entry a, entry b.


Entry a
This record from Alexandria via LeMat-Bulk describes a geometry-optimized BaScCu3 structure. The functional is PBE-GGA.

The structure in POSCAR format:
```
BaScCu3
1.0
-3.2782 4.0493 0.8776
-1.5603 -2.2433 4.5218
3.8382 2.5465 2.5878
Sc Ba Cu
1 1 3
Direct
0.5000 0.5000 0.5000 Sc
0.0000 0.0000 0.0000 Ba
0.0000 0.5000 0.0000 Cu
0.0000 0.0000 0.5000 Cu
0.5000 0.0000 0.0000 Cu
```

Properties
V: 147.5 Å³ per cell
size of the total moment: 0.00 μB/atom


Entry b
This record from Alexandria via LeMat-Bulk describes a geometry-optimized BaScCu3 structure. The functional is PBE-GGA.

The structure in POSCAR format:
```
BaScCu3
1.0
5.0625 0.0000 0.0000
0.0000 5.0625 0.0000
0.0000 0.0000 5.0625
Sc Ba Cu
1 1 3
Direct
0.0000 0.0000 0.0000 Sc
0.5000 0.5000 0.5000 Ba
0.0000 0.5000 0.0000 Cu
0.0000 0.0000 0.5000 Cu
0.5000 0.0000 0.0000 Cu
```

Properties
V: 129.7 Å³ per cell
size of the total moment: 0.00 μB/atom


In order of decreasing stability: entry b, entry a.